The following is a PBE calculation of a relaxed structure of Na2Lu2B2TeO10, from OQMD via LeMat-Bulk.

Cell: 6.226 9.757 6.614 Å, 90.00 103.58 90.00°
Atoms (fractional coordinates):
Na 0.081 0.111 0.168
Na 0.081 0.389 0.668
Na 0.919 0.611 0.332
Na 0.919 0.889 0.832
Lu 0.374 0.666 0.978
Lu 0.374 0.834 0.478
Lu 0.626 0.166 0.522
Lu 0.626 0.334 0.022
B 0.161 0.101 0.625
B 0.161 0.399 0.125
B 0.839 0.601 0.875
B 0.839 0.899 0.375
Te 0.500 0.000 0.000
Te 0.500 0.500 0.500
O 0.026 0.672 0.955
O 0.026 0.828 0.455
O 0.205 0.066 0.839
O 0.205 0.434 0.339
O 0.306 0.061 0.509
O 0.306 0.439 0.009
O 0.331 0.617 0.637
O 0.331 0.883 0.137
O 0.496 0.154 0.181
O 0.496 0.346 0.681
O 0.504 0.654 0.319
O 0.504 0.846 0.819
O 0.669 0.117 0.863
O 0.669 0.383 0.363
O 0.694 0.561 0.991
O 0.694 0.939 0.491
O 0.795 0.566 0.661
O 0.795 0.934 0.161
O 0.974 0.172 0.545
O 0.974 0.328 0.045

Total moment: 0.0 μB per formula unit
E_tot: -7.031 eV/atom
Space group: No. 14
Crystal system: monoclinic


The following is a PBE calculation of a relaxed structure of LuNbB, from OQMD via LeMat-Bulk.

Cell: 4.163 4.163 4.163 Å, 60.00 60.00 60.00°
Atoms (fractional coordinates):
Lu 0.000 0.000 0.000
Nb 0.500 0.500 0.500
B 0.250 0.250 0.250

Total moment: 0.0 μB per formula unit
E_tot: -6.956 eV/atom
Excess energy over the best structure of this formula in the dataset: 0 meV per atom
Space group: No. 216
Crystal system: cubic


The following is a PBE calculation of a relaxed structure of LuNb2B, from OQMD via LeMat-Bulk.

Cell: 4.577 4.577 4.577 Å, 60.00 60.00 60.00°
Atoms (fractional coordinates):
Lu 0.000 0.000 0.000
Nb 0.250 0.250 0.250
Nb 0.500 0.500 0.500
B 0.750 0.750 0.750

Total moment: 0.0 μB per formula unit
E_tot: -7.318 eV/atom
Space group: No. 216
Crystal system: cubic


The following is a PBE calculation of a relaxed structure of LuNbB, from OQMD via LeMat-Bulk.

Cell: 4.432 4.432 4.432 Å, 60.00 60.00 60.00°
Atoms (fractional coordinates):
Lu 0.000 0.000 0.000
Nb 0.250 0.250 0.250
B 0.750 0.750 0.750

Total moment: 3.0 μB per formula unit
E_tot: -5.438 eV/atom
Excess energy over the best structure of this formula in the dataset: 1518 meV per atom
Space group: No. 216
Crystal system: cubic


The following is a PBE calculation of a relaxed structure of LuNiB4, from OQMD via LeMat-Bulk.

Cell: 5.843 11.341 3.361 Å, 90.00 90.00 90.00°
Atoms (fractional coordinates):
Lu 0.127 0.150 0.000
Lu 0.373 0.650 0.000
Lu 0.627 0.350 0.000
Lu 0.873 0.850 0.000
Ni 0.134 0.411 0.000
Ni 0.366 0.911 0.000
Ni 0.634 0.089 0.000
Ni 0.866 0.589 0.000
B 0.022 0.692 0.500
B 0.114 0.548 0.500
B 0.137 0.967 0.500
B 0.214 0.815 0.500
B 0.286 0.315 0.500
B 0.363 0.467 0.500
B 0.386 0.048 0.500
B 0.478 0.192 0.500
B 0.522 0.808 0.500
B 0.614 0.952 0.500
B 0.637 0.533 0.500
B 0.714 0.685 0.500
B 0.786 0.185 0.500
B 0.863 0.033 0.500
B 0.886 0.452 0.500
B 0.978 0.308 0.500

Total moment: 0.0 μB per formula unit
E_tot: -6.701 eV/atom
Space group: No. 55
Crystal system: orthorhombic


The following is a PBE calculation of a relaxed structure of Lu3NiB2, from OQMD via LeMat-Bulk.

Cell: 3.489 3.489 20.577 Å, 90.00 90.00 120.00°
Atoms (fractional coordinates):
Lu 0.000 0.000 0.000
Lu 0.000 0.000 0.500
Lu 0.333 0.667 0.158
Lu 0.333 0.667 0.342
Lu 0.667 0.333 0.658
Lu 0.667 0.333 0.842
Ni 0.000 0.000 0.250
Ni 0.000 0.000 0.750
B 0.333 0.667 0.582
B 0.333 0.667 0.918
B 0.667 0.333 0.082
B 0.667 0.333 0.418

Total moment: 0.0 μB per formula unit
E_tot: -5.359 eV/atom
Space group: No. 194
Crystal system: hexagonal


The following is a PBE calculation of a relaxed structure of Lu4NiB3, from OQMD via LeMat-Bulk.

Cell: 3.472 3.472 27.402 Å, 90.00 90.00 120.00°
Atoms (fractional coordinates):
Lu 0.000 0.000 0.181
Lu 0.000 0.000 0.319
Lu 0.000 0.000 0.681
Lu 0.000 0.000 0.819
Lu 0.333 0.667 0.061
Lu 0.333 0.667 0.439
Lu 0.667 0.333 0.561
Lu 0.667 0.333 0.939
Ni 0.333 0.667 0.250
Ni 0.667 0.333 0.750
B 0.000 0.000 0.000
B 0.000 0.000 0.500
B 0.333 0.667 0.624
B 0.333 0.667 0.876
B 0.667 0.333 0.124
B 0.667 0.333 0.376

Total moment: 0.0 μB per formula unit
E_tot: -5.360 eV/atom
Space group: No. 194
Crystal system: hexagonal


The following is a PBE calculation of a relaxed structure of Lu2Ni15B9, from OQMD via LeMat-Bulk.

Cell: 9.810 9.810 11.216 Å, 90.00 90.00 72.29°
Atoms (fractional coordinates):
Lu 0.189 0.311 0.250
Lu 0.240 0.760 0.958
Lu 0.260 0.740 0.458
Lu 0.311 0.189 0.750
Lu 0.689 0.811 0.250
Lu 0.740 0.260 0.542
Lu 0.760 0.240 0.042
Lu 0.811 0.689 0.750
Ni 0.000 0.000 0.000
Ni 0.000 0.000 0.500
Ni 0.004 0.228 0.883
Ni 0.010 0.183 0.660
Ni 0.011 0.831 0.807
Ni 0.030 0.756 0.597
Ni 0.054 0.607 0.915
Ni 0.070 0.430 0.750
Ni 0.107 0.554 0.415
Ni 0.137 0.337 0.531
Ni 0.163 0.363 0.969
Ni 0.169 0.989 0.807
Ni 0.183 0.010 0.340
Ni 0.228 0.004 0.117
Ni 0.234 0.766 0.212
Ni 0.244 0.970 0.597
Ni 0.256 0.530 0.097
Ni 0.266 0.734 0.712
Ni 0.272 0.496 0.617
Ni 0.317 0.490 0.840
Ni 0.331 0.511 0.307
Ni 0.337 0.137 0.469
Ni 0.363 0.163 0.031
Ni 0.393 0.946 0.915
Ni 0.430 0.070 0.250
Ni 0.446 0.893 0.415
Ni 0.470 0.744 0.097
Ni 0.489 0.669 0.307
Ni 0.490 0.317 0.160
Ni 0.496 0.272 0.383
Ni 0.500 0.500 0.000
Ni 0.500 0.500 0.500
Ni 0.504 0.728 0.617
Ni 0.510 0.683 0.840
Ni 0.511 0.331 0.693
Ni 0.530 0.256 0.903
Ni 0.554 0.107 0.585
Ni 0.570 0.930 0.750
Ni 0.607 0.054 0.085
Ni 0.637 0.837 0.969
Ni 0.663 0.863 0.531
Ni 0.669 0.489 0.693
Ni 0.683 0.510 0.160
Ni 0.728 0.504 0.383
Ni 0.734 0.266 0.288
Ni 0.744 0.470 0.903
Ni 0.756 0.030 0.403
Ni 0.766 0.234 0.788
Ni 0.772 0.996 0.883
Ni 0.817 0.990 0.660
Ni 0.831 0.011 0.193
Ni 0.837 0.637 0.031
Ni 0.863 0.663 0.469
Ni 0.893 0.446 0.585
Ni 0.930 0.570 0.250
Ni 0.946 0.393 0.085
Ni 0.970 0.244 0.403
Ni 0.989 0.169 0.193
Ni 0.990 0.817 0.340
Ni 0.996 0.772 0.117
B 0.047 0.953 0.672
B 0.049 0.549 0.100
B 0.049 0.549 0.600
B 0.057 0.943 0.200
B 0.096 0.202 0.052
B 0.121 0.621 0.244
B 0.121 0.621 0.744
B 0.135 0.135 0.500
B 0.202 0.096 0.948
B 0.298 0.404 0.448
B 0.365 0.365 0.000
B 0.379 0.879 0.244
B 0.379 0.879 0.744
B 0.404 0.298 0.552
B 0.443 0.557 0.700
B 0.451 0.951 0.100
B 0.451 0.951 0.600
B 0.453 0.547 0.172
B 0.547 0.453 0.828
B 0.549 0.049 0.400
B 0.549 0.049 0.900
B 0.557 0.443 0.300
B 0.596 0.702 0.448
B 0.621 0.121 0.256
B 0.621 0.121 0.756
B 0.635 0.635 0.000
B 0.702 0.596 0.552
B 0.798 0.904 0.052
B 0.865 0.865 0.500
B 0.879 0.379 0.256
B 0.879 0.379 0.756
B 0.904 0.798 0.948
B 0.943 0.057 0.800
B 0.951 0.451 0.400
B 0.951 0.451 0.900
B 0.953 0.047 0.328

Total moment: 0.0 μB per formula unit
E_tot: -6.300 eV/atom
Space group: No. 64
Crystal system: orthorhombic


The following is a PBE calculation of a relaxed structure of Lu5Ni19B6, from OQMD via LeMat-Bulk.

Cell: 4.929 4.929 17.041 Å, 90.00 90.00 120.00°
Atoms (fractional coordinates):
Lu 0.000 0.000 0.000
Lu 0.000 0.000 0.201
Lu 0.000 0.000 0.403
Lu 0.000 0.000 0.597
Lu 0.000 0.000 0.799
Ni 0.000 0.500 0.085
Ni 0.000 0.500 0.322
Ni 0.000 0.500 0.500
Ni 0.000 0.500 0.678
Ni 0.000 0.500 0.915
Ni 0.333 0.667 0.204
Ni 0.333 0.667 0.796
Ni 0.500 0.000 0.085
Ni 0.500 0.000 0.322
Ni 0.500 0.000 0.500
Ni 0.500 0.000 0.678
Ni 0.500 0.000 0.915
Ni 0.500 0.500 0.085
Ni 0.500 0.500 0.322
Ni 0.500 0.500 0.500
Ni 0.500 0.500 0.678
Ni 0.500 0.500 0.915
Ni 0.667 0.333 0.204
Ni 0.667 0.333 0.796
B 0.333 0.667 0.000
B 0.333 0.667 0.409
B 0.333 0.667 0.591
B 0.667 0.333 0.000
B 0.667 0.333 0.409
B 0.667 0.333 0.591

Total moment: 0.0 μB per formula unit
E_tot: -6.126 eV/atom
Space group: No. 191
Crystal system: hexagonal


The following is a PBE calculation of a relaxed structure of LuReNiB, from OQMD via LeMat-Bulk.

Cell: 4.363 4.363 4.363 Å, 60.00 60.00 60.00°
Atoms (fractional coordinates):
Lu 0.000 0.000 0.000
Re 0.750 0.750 0.750
Ni 0.500 0.500 0.500
B 0.250 0.250 0.250

Total moment: 1.8 μB per formula unit
E_tot: -6.349 eV/atom
Excess energy over the best structure of this formula in the dataset: 690 meV per atom
Space group: No. 216
Crystal system: cubic


The following is a PBE calculation of a relaxed structure of LuReNiB, from OQMD via LeMat-Bulk.

Cell: 4.262 4.262 4.262 Å, 60.00 60.00 60.00°
Atoms (fractional coordinates):
Lu 0.000 0.000 0.000
Re 0.500 0.500 0.500
Ni 0.250 0.250 0.250
B 0.750 0.750 0.750

Total moment: 0.2 μB per formula unit
E_tot: -7.038 eV/atom
Excess energy over the best structure of this formula in the dataset: 0 meV per atom
Space group: No. 216
Crystal system: cubic


The following is a PBE calculation of a relaxed structure of LuScNiB, from OQMD via LeMat-Bulk.

Cell: 4.452 4.452 4.452 Å, 60.00 60.00 60.00°
Atoms (fractional coordinates):
Lu 0.000 0.000 0.000
Sc 0.500 0.500 0.500
Ni 0.750 0.750 0.750
B 0.250 0.250 0.250

Total moment: 0.1 μB per formula unit
E_tot: -5.937 eV/atom
Excess energy over the best structure of this formula in the dataset: 0 meV per atom
Space group: No. 216
Crystal system: cubic


The following is a PBE calculation of a relaxed structure of LuScNiB, from OQMD via LeMat-Bulk.

Cell: 4.363 4.363 4.363 Å, 60.00 60.00 60.00°
Atoms (fractional coordinates):
Lu 0.000 0.000 0.000
Sc 0.250 0.250 0.250
Ni 0.750 0.750 0.750
B 0.500 0.500 0.500

Total moment: 0.8 μB per formula unit
E_tot: -5.443 eV/atom
Excess energy over the best structure of this formula in the dataset: 494 meV per atom
Space group: No. 216
Crystal system: cubic


The following is a PBE calculation of a relaxed structure of LuTaNiB, from OQMD via LeMat-Bulk.

Cell: 4.354 4.354 4.354 Å, 60.00 60.00 60.00°
Atoms (fractional coordinates):
Lu 0.000 0.000 0.000
Ta 0.250 0.250 0.250
Ni 0.750 0.750 0.750
B 0.500 0.500 0.500

Total moment: 0.8 μB per formula unit
E_tot: -6.327 eV/atom
Excess energy over the best structure of this formula in the dataset: 673 meV per atom
Space group: No. 216
Crystal system: cubic


The following is a PBE calculation of a relaxed structure of LuTaNiB, from OQMD via LeMat-Bulk.

Cell: 4.384 4.384 4.384 Å, 60.00 60.00 60.00°
Atoms (fractional coordinates):
Lu 0.000 0.000 0.000
Ta 0.500 0.500 0.500
Ni 0.250 0.250 0.250
B 0.750 0.750 0.750

Total moment: 1.0 μB per formula unit
E_tot: -7.000 eV/atom
Excess energy over the best structure of this formula in the dataset: 0 meV per atom
Space group: No. 216
Crystal system: cubic


The following is a PBE calculation of a relaxed structure of LuNiBW, from OQMD via LeMat-Bulk.

Cell: 4.307 4.307 4.307 Å, 60.00 60.00 60.00°
Atoms (fractional coordinates):
Lu 0.000 0.000 0.000
Ni 0.250 0.250 0.250
B 0.750 0.750 0.750
W 0.500 0.500 0.500

Total moment: 1.0 μB per formula unit
E_tot: -7.084 eV/atom
Excess energy over the best structure of this formula in the dataset: 0 meV per atom
Space group: No. 216
Crystal system: cubic


The following is a PBE calculation of a relaxed structure of LuNiBW, from OQMD via LeMat-Bulk.

Cell: 4.395 4.395 4.395 Å, 60.00 60.00 60.00°
Atoms (fractional coordinates):
Lu 0.000 0.000 0.000
Ni 0.500 0.500 0.500
B 0.250 0.250 0.250
W 0.750 0.750 0.750

Total moment: 2.8 μB per formula unit
E_tot: -6.364 eV/atom
Excess energy over the best structure of this formula in the dataset: 720 meV per atom
Space group: No. 216
Crystal system: cubic


The following is a PBE calculation of a relaxed structure of YLuNiB, from OQMD via LeMat-Bulk.

Cell: 4.622 4.622 4.622 Å, 60.00 60.00 60.00°
Atoms (fractional coordinates):
Y 0.000 0.000 0.000
Lu 0.500 0.500 0.500
Ni 0.250 0.250 0.250
B 0.750 0.750 0.750

Total moment: 0.3 μB per formula unit
E_tot: -5.887 eV/atom
Excess energy over the best structure of this formula in the dataset: 0 meV per atom
Space group: No. 216
Crystal system: cubic


The following is a PBE calculation of a relaxed structure of LuZnNiB, from OQMD via LeMat-Bulk.

Cell: 4.278 4.278 4.278 Å, 60.00 60.00 60.00°
Atoms (fractional coordinates):
Lu 0.000 0.000 0.000
Zn 0.500 0.500 0.500
Ni 0.750 0.750 0.750
B 0.250 0.250 0.250

Total moment: 0.0 μB per formula unit
E_tot: -4.429 eV/atom
Space group: No. 216
Crystal system: cubic